#one
Entry from the Alexandria database: a relaxed structure of KHgI (PBE-GGA).

Lattice parameters (Å, degrees): 5.585 5.355 5.355 120.00 90.00 90.00
Element x y z (fractional)
K1 0.359 0.333 0.667
Hg1 0.005 0.000 0.000
I1 0.636 0.667 0.333

Results
- Density of states at the Fermi level: 0.00 states/eV per cell
- Space-group type: No. 156

=====

#two
Entry from the Alexandria database: a relaxed structure of KHgI (PBE-GGA).

Lattice parameters (Å, degrees): 7.030 4.971 12.391 66.31 89.67 44.98
Element x y z (fractional)
K1 0.582 0.842 0.827
I1 0.080 0.845 0.825
I2 0.920 0.155 0.175
K2 0.418 0.158 0.173
Hg1 0.250 0.000 0.500
Hg2 0.750 0.000 0.500

Results
- Space-group type: No. 2

=====

Stability comparison, relative energies in meV/atom: #one 82; #two 0

=====

#one
Entry from the Alexandria database: a relaxed structure of KHgI3 (PBE-GGA).

Lattice parameters (Å, degrees): 5.588 9.229 9.231 73.33 89.84 89.84
Element x y z (fractional)
Hg1 0.742 0.642 0.702
Hg2 0.743 0.263 0.081
I1 0.999 0.013 0.055
I2 0.486 0.288 0.330
I3 0.485 0.892 0.727
K1 0.525 0.723 0.162
I4 0.999 0.558 0.997
K2 0.960 0.181 0.620
I5 0.486 0.347 0.785
I6 0.999 0.616 0.452

Results
- Density of states at the Fermi level: 0.00 states/eV per cell
- Space-group type: No. 12

=====

#two
Entry from the Alexandria database: a relaxed structure of KHgI3 (PBE-GGA).

Lattice parameters (Å, degrees): 6.019 6.019 6.019 90.00 90.00 90.00
Element x y z (fractional)
I1 0.000 0.500 0.000
K1 0.500 0.500 0.500
I2 0.500 0.000 0.000
Hg1 0.000 0.000 0.000
I3 0.000 0.000 0.500

Results
- Density of states at the Fermi level: 1.16 states/eV per cell
- Space-group type: No. 221

=====

#three
Entry from the Alexandria database: a relaxed structure of KHgI3 (PBE-GGA).

Lattice parameters (Å, degrees): 6.744 6.744 6.744 90.00 90.00 90.00
Site moments in Bohr magnetons follow the coordinates.
Element x y z (fractional)
I1 0.500 0.000 0.000  0.33
I2 0.000 0.000 0.500  0.36
I3 0.000 0.500 0.000  0.44
K1 0.000 0.000 0.000  0.00
Hg1 0.500 0.500 0.500  0.09

Results
- Density of states at the Fermi level: 12.54 states/eV per cell
- Space-group type: No. 221

=====

Stability comparison, relative energies in meV/atom: #one 0; #two 101; #three 625

=====

#one
Entry from the Alexandria database: a relaxed structure of KHgI3 (PBE-GGA).

Lattice parameters (Å, degrees): 8.599 8.643 12.326 97.98 90.00 90.00
Element x y z (fractional)
I1 0.559 0.659 0.718
Hg1 0.932 0.820 0.577
K1 0.899 0.437 0.789
I2 0.262 0.380 0.940
I3 0.213 0.380 0.582
I4 0.941 0.159 0.218
Hg2 0.568 0.320 0.077
I5 0.787 0.620 0.418
I6 0.059 0.841 0.782
K2 0.601 0.937 0.289
K3 0.399 0.063 0.711
K4 0.101 0.563 0.211
I7 0.238 0.880 0.440
I8 0.762 0.120 0.560
Hg3 0.068 0.180 0.423
I9 0.441 0.341 0.282
I10 0.287 0.880 0.082
Hg4 0.432 0.680 0.923
I11 0.713 0.120 0.918
I12 0.738 0.620 0.060

Results
- Density of states at the Fermi level: 0.00 states/eV per cell
- Space-group type: No. 14

=====

#two
Entry from the Alexandria database: a relaxed structure of KHgI3 (PBE-GGA).

Lattice parameters (Å, degrees): 8.638 8.719 12.067 90.00 90.00 90.00
Element x y z (fractional)
I1 0.353 0.198 0.450
I2 0.129 0.713 0.820
I3 0.696 0.551 0.640
I4 0.853 0.302 0.950
I5 0.371 0.213 0.820
I6 0.147 0.698 0.450
I7 0.871 0.287 0.320
Hg1 0.351 0.693 0.987
K1 0.585 0.119 0.143
I8 0.629 0.787 0.320
K2 0.415 0.881 0.643
I9 0.647 0.802 0.950
K3 0.085 0.381 0.643
I10 0.804 0.051 0.640
I11 0.196 0.949 0.140
Hg2 0.851 0.807 0.487
Hg3 0.649 0.307 0.487
I12 0.304 0.449 0.140
Hg4 0.149 0.193 0.987
K4 0.915 0.619 0.143

Results
- Density of states at the Fermi level: 0.00 states/eV per cell
- Space-group type: No. 33

=====

Stability comparison, relative energies in meV/atom: #one 5; #two 0

=====

#one
Entry from the Alexandria database: a relaxed structure of K2HgI (PBE-GGA).

Lattice parameters (Å, degrees): 4.882 4.882 9.319 74.71 74.71 59.94
Element x y z (fractional)
Hg1 0.500 0.500 0.499
K1 0.081 0.081 0.757
K2 0.253 0.253 0.242
I1 0.666 0.666 0.001

Results
- Density of states at the Fermi level: 2.60 states/eV per cell
- Space-group type: No. 8

=====

#two
Entry from the Alexandria database: a relaxed structure of K2HgI (PBE-GGA).

Lattice parameters (Å, degrees): 4.349 4.349 8.320 90.00 90.00 90.00
Element x y z (fractional)
K1 0.000 0.000 0.253
I1 0.500 0.500 0.500
K2 0.000 0.000 0.747
Hg1 0.500 0.500 0.000

Results
- Density of states at the Fermi level: 1.59 states/eV per cell
- Space-group type: No. 123

=====

Stability comparison, relative energies in meV/atom: #one 38; #two 0

=====

#one
Entry from the Alexandria database: a relaxed structure of KHg3I (PBE-GGA).

Lattice parameters (Å, degrees): 7.021 7.021 7.021 90.00 90.00 90.00
Element x y z (fractional)
Hg1 0.000 0.000 0.500
Hg2 0.000 0.500 0.000
Hg3 0.500 0.000 0.000
I1 0.000 0.000 0.000
K1 0.500 0.500 0.500

Results
- Density of states at the Fermi level: 0.00 states/eV per cell
- Space-group type: No. 221

=====

#two
Entry from the Alexandria database: a relaxed structure of KHg3I (PBE-GGA).

Lattice parameters (Å, degrees): 6.452 6.452 6.452 90.00 90.00 90.00
Element x y z (fractional)
Hg1 0.000 0.000 0.500
I1 0.500 0.500 0.500
Hg2 0.000 0.500 0.000
Hg3 0.500 0.000 0.000
K1 0.000 0.000 0.000

Results
- Density of states at the Fermi level: 0.00 states/eV per cell
- Space-group type: No. 221

=====

Stability comparison, relative energies in meV/atom: #one 74; #two 0

=====

#one
Entry from the Alexandria database: a relaxed structure of K2HgI4 (PBE-GGA).

Lattice parameters (Å, degrees): 9.096 9.096 10.763 103.48 103.48 117.05
Element x y z (fractional)
I1 0.335 0.851 0.595
K1 0.177 0.823 0.250
I2 0.256 0.242 0.905
I3 0.665 0.149 0.405
Hg1 0.875 0.125 0.250
I4 0.149 0.665 0.905
I5 0.758 0.744 0.595
K2 0.823 0.177 0.750
I6 0.851 0.335 0.095
I7 0.242 0.256 0.405
K3 0.426 0.574 0.750
K4 0.574 0.426 0.250
I8 0.744 0.758 0.095
Hg2 0.125 0.875 0.750

Results
- Density of states at the Fermi level: 0.00 states/eV per cell
- Space-group type: No. 15

=====

#two
Entry from the Alexandria database: a relaxed structure of K2HgI4 (PBE-GGA).

Lattice parameters (Å, degrees): 6.086 6.086 9.766 71.84 71.84 90.00
Element x y z (fractional)
K1 0.631 0.631 0.738
K2 0.369 0.369 0.262
I1 0.500 0.000 0.000
I2 0.169 0.169 0.662
I3 0.000 0.500 0.000
I4 0.831 0.831 0.338
Hg1 0.000 0.000 0.000

Results
- Space-group type: No. 139

=====

Stability comparison, relative energies in meV/atom: #one 0; #two 87

=====

#one
Entry from the Alexandria database: a relaxed structure of KLiHg2I (PBE-GGA).

Lattice parameters (Å, degrees): 5.354 5.354 5.838 90.00 90.00 90.00
Element x y z (fractional)
Hg1 0.500 0.000 0.000
K1 0.500 0.500 0.500
Li1 0.000 0.000 0.000
Hg2 0.000 0.500 0.000
I1 0.000 0.000 0.500

Results
- Density of states at the Fermi level: 2.47 states/eV per cell
- Space-group type: No. 123

=====

#two
Entry from the Alexandria database: a relaxed structure of KLiHg2I (PBE-GGA).

Lattice parameters (Å, degrees): 6.398 6.382 6.398 90.00 90.00 90.00
Element x y z (fractional)
I1 0.000 0.500 0.000
Hg1 0.000 0.000 0.500
Li1 0.500 0.500 0.500
Hg2 0.500 0.000 0.000
K1 0.000 0.000 0.000

Results
- Density of states at the Fermi level: 2.68 states/eV per cell
- Space-group type: No. 123

=====

Stability comparison, relative energies in meV/atom: #one 0; #two 379

=====

#one
Entry from the Alexandria database: a relaxed structure of KHgI2N (PBE-GGA).

Lattice parameters (Å, degrees): 6.349 6.349 4.320 90.00 90.00 90.00
Site moments in Bohr magnetons follow the coordinates.
Element x y z (fractional)
Hg1 0.000 0.000 0.000  0.05
K1 0.500 0.500 0.500  0.00
N1 0.000 0.000 0.500  1.18
I1 0.000 0.500 0.000  0.08
I2 0.500 0.000 0.000  0.08

Results
- Density of states at the Fermi level: 1.32 states/eV per cell
- Space-group type: No. 123

=====

#two
Entry from the Alexandria database: a relaxed structure of KHgI2N (PBE-GGA).

Lattice parameters (Å, degrees): 6.690 6.690 5.663 90.00 90.00 90.00
Site moments in Bohr magnetons follow the coordinates.
Element x y z (fractional)
I1 0.500 0.000 0.000  0.28
K1 0.000 0.000 0.000  0.01
I2 0.000 0.500 0.000  0.28
Hg1 0.500 0.500 0.500  0.13
N1 0.000 0.000 0.500  1.89

Results
- Density of states at the Fermi level: 6.53 states/eV per cell
- Space-group type: No. 123

=====

Stability comparison, relative energies in meV/atom: #one 0; #two 538

=====

#one
Entry from the Alexandria database: a relaxed structure of KHgI2O (PBE-GGA).

Lattice parameters (Å, degrees): 6.708 6.708 5.168 90.00 90.00 90.00
Site moments in Bohr magnetons follow the coordinates.
Element x y z (fractional)
I1 0.500 0.000 0.000  0.28
Hg1 0.500 0.500 0.500  0.10
K1 0.000 0.000 0.000  -0.01
O1 0.000 0.000 0.500  1.24
I2 0.000 0.500 0.000  0.28

Results
- Density of states at the Fermi level: 8.73 states/eV per cell
- Space-group type: No. 123

=====

#two
Entry from the Alexandria database: a relaxed structure of KHgI2O (PBE-GGA).

Lattice parameters (Å, degrees): 6.188 6.188 4.238 90.00 90.00 90.00
Site moments in Bohr magnetons follow the coordinates.
Element x y z (fractional)
O1 0.000 0.000 0.500  0.36
K1 0.500 0.500 0.500  0.00
Hg1 0.000 0.000 0.000  0.03
I1 0.500 0.000 0.000  0.04
I2 0.000 0.500 0.000  0.04

Results
- Density of states at the Fermi level: 6.72 states/eV per cell
- Space-group type: No. 123

=====

Stability comparison, relative energies in meV/atom: #one 596; #two 0

=====

#one
Entry from the Alexandria database: a relaxed structure of KHgSbI2 (PBE-GGA).

Lattice parameters (Å, degrees): 6.392 6.392 5.550 90.00 90.00 90.00
Site moments in Bohr magnetons follow the coordinates.
Element x y z (fractional)
I1 0.000 0.500 0.000  0.08
I2 0.500 0.000 0.000  0.08
Sb1 0.000 0.000 0.500  0.62
K1 0.500 0.500 0.500  0.00
Hg1 0.000 0.000 0.000  0.00

Results
- Density of states at the Fermi level: 2.22 states/eV per cell
- Space-group type: No. 123

=====

#two
Entry from the Alexandria database: a relaxed structure of KHgSbI2 (PBE-GGA).

Lattice parameters (Å, degrees): 6.572 6.572 7.362 90.00 90.00 90.00
Site moments in Bohr magnetons follow the coordinates.
Element x y z (fractional)
I1 0.500 0.000 0.000  0.23
Sb1 0.000 0.000 0.500  0.97
K1 0.000 0.000 0.000  0.01
Hg1 0.500 0.500 0.500  0.01
I2 0.000 0.500 0.000  0.23

Results
- Density of states at the Fermi level: 8.72 states/eV per cell
- Space-group type: No. 123

=====

Stability comparison, relative energies in meV/atom: #one 0; #two 442

=====

#one
Entry from the Alexandria database: a relaxed structure of KTiHg2I (PBE-GGA).

Lattice parameters (Å, degrees): 5.450 7.352 5.450 90.00 90.00 90.00
Site moments in Bohr magnetons follow the coordinates.
Element x y z (fractional)
I1 0.500 0.500 0.500  0.03
K1 0.000 0.500 0.000  0.02
Ti1 0.000 0.000 0.000  2.00
Hg1 0.000 0.000 0.500  0.04
Hg2 0.500 0.000 0.000  0.12

Results
- Density of states at the Fermi level: 5.72 states/eV per cell
- Space-group type: No. 123

=====

#two
Entry from the Alexandria database: a relaxed structure of KTiHg2I (PBE-GGA).

Lattice parameters (Å, degrees): 5.602 5.508 5.602 90.00 90.00 90.00
Site moments in Bohr magnetons follow the coordinates.
Element x y z (fractional)
Hg1 0.500 0.000 0.000  0.08
I1 0.000 0.500 0.000  -0.01
Ti1 0.000 0.000 0.000  1.42
K1 0.500 0.500 0.500  0.00
Hg2 0.000 0.000 0.500  0.05

Results
- Density of states at the Fermi level: 4.30 states/eV per cell
- Space-group type: No. 123

=====

Stability comparison, relative energies in meV/atom: #one 310; #two 0